w | 4
Lattice="4.469 0.000 0.000 0.000 4.469 0.000 -2.235 -2.235 5.342" Properties=species:S:1:pos:R:3 comment="K2AlAu (GGA-PBEsol, optimized geometry)" m_tot_mub_per_fu=0.64 sg="No. 139" pbc="T T T"
Au 2.235 2.235 0.000
K 0.000 2.235 2.671
K 2.235 0.000 2.671
Al 0.000 0.000 0.000

=====

x | 4
Lattice="-2.296 -1.802 3.254 0.830 -4.105 1.251 5.658 1.212 7.439" Properties=species:S:1:pos:R:3 comment="K2AlAu (GGA-PBEsol, optimized geometry)" m_tot_mub_per_fu=0.00 sg="No. 8" pbc="T T T"
K 5.006 0.848 6.841
K 1.699 -0.810 3.585
Au 2.375 -3.918 8.215
Al 2.864 -1.950 6.715

=====

x is preferred energetically. Next in line: 0.392 eV/atom higher.

=====

w | 4
Lattice="4.468 0.000 0.000 2.234 3.869 0.000 2.234 1.290 6.123" Properties=species:S:1:pos:R:3 comment="KAlAu2 (GGA-PBEsol, optimized geometry)" m_tot_mub_per_fu=0.00 sg="No. 160" pbc="T T T"
Au 6.702 3.869 5.654
Au 6.702 3.869 0.425
Al 2.234 1.290 0.172
K 4.468 2.579 2.933

=====

x | 4
Lattice="4.868 0.000 0.000 2.434 4.216 0.000 2.434 1.405 3.975" Properties=species:S:1:pos:R:3 comment="KAlAu2 (GGA-PBEsol, optimized geometry)" m_tot_mub_per_fu=0.00 sg="No. 216" pbc="T T T"
Au 0.000 0.000 0.000
Au 7.302 4.216 2.981
Al 4.868 2.811 1.987
K 2.434 1.405 0.994

=====

y | 4
Lattice="-0.951 -3.569 -2.573 3.278 -2.052 -2.303 1.762 -5.438 2.954" Properties=species:S:1:pos:R:3 comment="KAlAu2 (GGA-PBEsol, optimized geometry)" m_tot_mub_per_fu=0.00 sg="No. 166" pbc="T T T"
K 2.045 -5.529 -0.961
Au 0.845 -2.123 -1.305
Au 3.245 -8.936 -0.616
Al 0.000 0.000 0.000

=====

y is preferred energetically. Next in line: 0.045 eV/atom higher.

=====

w | 5
Lattice="-2.715 0.764 -3.915 3.331 -2.172 -2.733 -2.195 -4.240 0.695" Properties=species:S:1:pos:R:3 comment="NaAlAu3 (GGA-PBEsol, optimized geometry)" m_tot_mub_per_fu=0.00 sg="No. 221" pbc="T T T"
Au -1.098 -2.120 0.348
Au -1.357 0.382 -1.958
Au 1.665 -1.086 -1.367
Na 0.000 0.000 0.000
Al -0.790 -2.825 -2.977

=====

x | 5
Lattice="4.849 0.000 0.000 0.000 4.849 0.000 0.000 0.000 4.849" Properties=species:S:1:pos:R:3 comment="NaAlAu3 (GGA-PBEsol, optimized geometry)" m_tot_mub_per_fu=0.00 sg="No. 221" pbc="T T T"
Au 0.000 0.000 2.424
Au 0.000 2.424 0.000
Au 2.424 0.000 0.000
Al 0.000 0.000 0.000
Na 2.424 2.424 2.424

=====

x is preferred energetically. Next in line: 0.956 eV/atom higher.

=====

w | 4
Lattice="4.269 0.000 0.000 2.134 3.697 0.000 2.134 1.232 5.326" Properties=species:S:1:pos:R:3 comment="AlPbAu2 (GGA-PBEsol, optimized geometry)" m_tot_mub_per_fu=0.00 sg="No. 166" pbc="T T T"
Au 6.403 3.697 4.513
Au 2.134 1.232 0.813
Pb 4.269 2.465 2.663
Al 0.000 0.000 0.000

=====

x | 4
Lattice="-2.245 -2.298 0.294 2.692 -2.573 0.450 -0.153 0.984 6.536" Properties=species:S:1:pos:R:3 comment="AlPbAu2 (GGA-PBEsol, optimized geometry)" m_tot_mub_per_fu=0.00 sg="No. 25" pbc="T T T"
Pb -0.075 0.481 3.196
Au -0.148 0.955 6.345
Au 0.190 -2.221 1.795
Al 0.098 -1.626 5.749

=====

y | 4
Lattice="-2.058 2.184 0.973 -2.380 -1.994 -0.559 0.544 -2.696 7.292" Properties=species:S:1:pos:R:3 comment="AlPbAu2 (GGA-PBEsol, optimized geometry)" m_tot_mub_per_fu=0.00 sg="No. 10" pbc="T T T"
Au -1.678 0.313 6.022
Au 0.164 -0.825 2.243
Al -1.947 -1.253 3.853
Pb -2.219 0.095 0.207

=====

y is preferred energetically. Next in line: 0.009 eV/atom higher.

=====

w | 4
Lattice="-2.703 0.990 -1.303 0.764 -1.461 -2.695 -2.705 -4.897 1.889" Properties=species:S:1:pos:R:3 comment="Al2ReAu (GGA-PBEsol, optimized geometry)" m_tot_mub_per_fu=0.00 sg="No. 123" pbc="T T T"
Al -1.968 -3.562 1.374
Al -0.737 -1.334 0.515
Au -0.969 -0.236 -1.999
Re -2.322 -2.684 -1.054

=====

x | 4
Lattice="-1.764 -3.193 -0.436 1.684 -1.337 2.979 -3.238 3.733 1.240" Properties=species:S:1:pos:R:3 comment="Al2ReAu (GGA-PBEsol, optimized geometry)" m_tot_mub_per_fu=0.00 sg="No. 119" pbc="T T T"
Al 0.000 0.000 0.000
Al -2.521 -0.862 1.038
Re -0.797 0.066 2.745
Au -0.040 -2.265 1.272

=====

w is preferred energetically. Next in line: 0.136 eV/atom higher.

=====

w | 4
Lattice="-0.321 2.788 0.137 -2.312 -1.411 0.749 2.634 -0.087 7.960" Properties=species:S:1:pos:R:3 comment="Al2ReAu (GGA-PBEsol, optimized geometry)" m_tot_mub_per_fu=0.00 sg="No. 65" pbc="T T T"
Al 0.628 -0.021 1.899
Al 2.005 -0.066 6.061
Re -1.316 0.689 0.443
Au 0.000 0.645 4.423

=====

x | 4
Lattice="-3.720 2.174 0.350 1.041 -1.910 -3.771 -2.170 -3.505 -1.303" Properties=species:S:1:pos:R:3 comment="Al2ReAu (GGA-PBEsol, optimized geometry)" m_tot_mub_per_fu=0.00 sg="No. 139" pbc="T T T"
Au 0.000 0.000 0.000
Al -3.897 -1.953 -2.600
Al -0.952 -1.288 -2.124
Re -2.945 -0.665 -0.476

=====

x is preferred energetically. Next in line: 0.069 eV/atom higher.

=====

w | 4
Lattice="-1.779 1.667 -3.487 0.439 -4.745 -2.492 -2.458 0.638 4.155" Properties=species:S:1:pos:R:3 comment="AlSbAu2 (GGA-PBEsol, optimized geometry)" m_tot_mub_per_fu=0.00 sg="No. 71" pbc="T T T"
Au -2.453 -2.053 -2.326
Au -1.345 -0.388 0.501
Al -0.890 0.833 -1.744
Sb 0.220 -2.373 -1.246

=====

x | 4
Lattice="3.277 0.000 0.000 1.638 2.838 0.000 1.638 0.946 8.266" Properties=species:S:1:pos:R:3 comment="AlSbAu2 (GGA-PBEsol, optimized geometry)" m_tot_mub_per_fu=0.00 sg="No. 166" pbc="T T T"
Sb 3.277 1.892 4.133
Au 4.915 2.838 6.477
Au 1.638 0.946 1.789
Al 0.000 0.000 0.000

=====

x is preferred energetically. Next in line: 0.150 eV/atom higher.

=====

w | 4
Lattice="2.770 0.000 0.000 0.000 3.593 0.000 0.000 0.000 6.546" Properties=species:S:1:pos:R:3 comment="AlSiAu2 (GGA-PBEsol, optimized geometry)" m_tot_mub_per_fu=0.00 sg="No. 47" pbc="T T T"
Si 1.385 1.797 0.000
Au 0.000 0.000 1.693
Au 0.000 0.000 4.853
Al 1.385 1.797 3.273

=====

x | 4
Lattice="3.147 0.000 0.000 -1.574 4.027 0.042 0.000 -1.213 5.143" Properties=species:S:1:pos:R:3 comment="AlSiAu2 (GGA-PBEsol, optimized geometry)" m_tot_mub_per_fu=0.00 sg="No. 12" pbc="T T T"
Au 0.000 1.724 1.298
Au 1.574 1.091 3.888
Si 1.574 0.000 0.000
Al 0.000 -0.606 2.572

=====

x is preferred energetically. Next in line: 0.101 eV/atom higher.